A geometry-optimized NdY3S4 structure. Source: the Alexandria database, functional PBE.

Results
* space-group type: Cmmm, No. 65
* E above lowest polymorph: 0 meV/atom
* formation energy from raw total energies: -1999 meV per atom
* final energy: -7.0830 eV per atom

```
8
Lattice="3.9943 -5.6007 0.0000 3.9943 5.6007 0.0000 0.0000 0.0000 3.9198" Properties=species:S:1:pos:R:3 pbc="T T T"
Nd 0.0000 0.0000 0.0000
Y 1.9971 2.8003 1.9599
Y 1.9971 -2.8003 1.9599
Y 3.9943 0.0000 0.0000
S 3.9943 2.7480 0.0000
S 2.0738 0.0000 1.9599
S 5.9148 0.0000 1.9599
S 3.9943 -2.7480 0.0000
```



A geometry-optimized NdInHgAu structure. Source: the Alexandria database, functional PBE.

Results
* space-group type: F-43m, No. 216
* final energy: -3.3223 eV per atom
* DFT formation energy: -550.9 meV per atom

```
4
Lattice="0.0000 3.6366 3.6366 3.6366 0.0000 3.6366 3.6366 3.6366 0.0000" Properties=species:S:1:pos:R:3 pbc="T T T"
Nd 0.0000 0.0000 0.0000
In 3.6366 3.6366 3.6366
Hg 1.8183 1.8183 1.8183
Au 5.4548 5.4548 5.4548
```



A geometry-optimized Be4CrFe structure. Source: the Alexandria database, functional PBE.

Results
* space-group type: F-43m, No. 216
* final energy: -5.7132 eV per atom
* DFT formation energy: -214.7 meV per atom

```
6
Lattice="0.0000 2.9582 2.9582 2.9582 0.0000 2.9582 2.9582 2.9582 0.0000" Properties=species:S:1:pos:R:3 pbc="T T T"
Be 0.7399 0.7399 0.7399
Be 2.2183 2.2183 0.7399
Be 2.2183 0.7399 2.2183
Be 0.7399 2.2183 2.2183
Cr 4.4373 4.4373 4.4373
Fe 2.9582 2.9582 2.9582
```



A geometry-optimized AcPr2US8 structure. Source: the Alexandria database, functional PBE.

Results
* space-group type: P2/m, No. 10
* formation energy from raw total energies: -1583 meV per atom
* final energy: -6.4139 eV per atom

```
12
Lattice="4.8029 0.0000 0.0000 0.0000 9.3064 0.0000 -0.0136 0.0000 6.8073" Properties=species:S:1:pos:R:3 pbc="T T T"
Ac 0.0000 0.0000 0.0000
Pr 2.3947 2.3549 3.4036
Pr 2.3947 6.9515 3.4036
U 0.0000 4.6532 0.0000
S -0.0073 2.6142 5.1334
S -0.0073 6.6922 5.1334
S 2.3884 0.0000 5.0337
S 2.3975 4.6532 1.4724
S 2.3919 4.6532 5.3348
S 2.4010 0.0000 1.7736
S 4.7967 2.6142 1.6738
S 4.7967 6.6922 1.6738
```



A geometry-optimized La4SnGeI2 structure. Source: the Alexandria database, functional PBE.

Results
* space-group type: P2/m, No. 10
* formation energy from raw total energies: -1034 meV per atom
* final energy: -4.9630 eV per atom

```
8
Lattice="7.9809 0.0000 0.0000 0.0000 4.5780 0.0000 -2.6390 0.0000 7.6276" Properties=species:S:1:pos:R:3 pbc="T T T"
La 1.2421 0.0000 1.5989
La -0.0873 2.2890 5.9704
La 5.4292 2.2890 1.6573
La 4.0998 0.0000 6.0288
Sn 3.9904 0.0000 0.0000
Ge 0.0000 2.2890 0.0000
I -1.3195 0.0000 3.8138
I 2.6709 2.2890 3.8138
```



A geometry-optimized Ce4Th3S8 structure. Source: the Alexandria database, functional PBE.

Results
* space-group type: C2/m, No. 12
* formation energy from raw total energies: -1956 meV per atom
* final energy: -7.2238 eV per atom

```
15
Lattice="5.6732 -5.6840 0.0000 5.6732 5.6840 0.0000 -5.6587 0.0000 5.6908" Properties=species:S:1:pos:R:3 pbc="T T T"
Ce 0.0000 0.0000 0.0000
Ce -2.8294 0.0000 2.8454
Ce 2.8366 2.8420 0.0000
Ce 2.8366 -2.8420 0.0000
Th 0.0073 2.8420 2.8454
Th 0.0073 -2.8420 2.8454
Th 5.6732 0.0000 0.0000
S 5.6732 2.8517 0.0000
S 2.8349 0.0000 0.0209
S 2.8439 2.8064 2.8454
S 0.0614 0.0000 2.8420
S 5.6264 0.0000 2.8488
S 2.8439 -2.8064 2.8454
S 2.8529 0.0000 5.6699
S 5.6732 -2.8517 0.0000
```



no.,spin magnetization (μB per formula unit)
1,0.00
2,0.00
3,1.86
4,0.00
5,0.00
6,2.78